(a)
VASP calculation (PBE) on an optimized crystal structure of HfRe3H.

abc: 4.0661 4.0661 4.0661
angles: 90.00 90.00 90.00
Last column: nearest neighbours and their distance in Å.
Space group Pm-3m (No. 221)
Symmetry-distinct sites (fractional):
Hf (0.0000, 0.0000, 0.0000)  12 Re 2.88
Re (0.0000, 0.5000, 0.5000)  2 H 2.03
H (0.5000, 0.5000, 0.5000)  6 Re 2.03

(b)
VASP calculation (PBE) on an optimized crystal structure of HfRe3H.

abc: 4.8146 4.8146 4.8146
angles: 90.00 90.00 90.00
Last column: nearest neighbours and their distance in Å.
Space group Pm-3m (No. 221)
Symmetry-distinct sites (fractional):
Hf (0.0000, 0.0000, 0.0000)  6 Re 2.41
Re (0.0000, 0.0000, 0.5000)  2 Hf 2.41
H (0.5000, 0.5000, 0.5000)  12 Re 3.40

Least stable of them? (b).